*i*
# Tl3GeS4, optimized geometry, DFT PBE-GGA
data_Tl3GeS4
_chemical_formula_sum 'Tl12 Ge4 S16'
_space_group_name_H-M_alt 'P n m a'
_space_group_IT_number 62
_cell_length_a 9.179
_cell_length_b 10.439
_cell_length_c 9.379
_cell_angle_alpha 90.00
_cell_angle_beta 90.00
_cell_angle_gamma 90.00
loop_
_space_group_symop_operation_xyz
'x,y,z'
'-x,-y,-z'
'-x+1/2,-y,z+1/2'
'x+1/2,y,-z+1/2'
'x+1/2,-y+1/2,-z+1/2'
'-x+1/2,y+1/2,z+1/2'
'-x,y+1/2,-z'
'x,-y+1/2,z'
loop_
_atom_site_label
_atom_site_fract_x
_atom_site_fract_y
_atom_site_fract_z
Tl1 0.076 0.250 0.109
Tl2 0.101 0.560 0.311
Ge1 0.199 0.250 0.534
S1 0.022 0.750 0.563
S2 0.163 0.250 0.772
S3 0.172 0.576 0.979
# - spin magnetization (μB/cell) = 0.0

=====

*ii*
# Tl3GeS4, optimized geometry, DFT PBE-GGA
data_Tl3GeS4
_chemical_formula_sum 'Tl6 Ge2 S8'
_space_group_name_H-M_alt 'P m n 21'
_space_group_IT_number 31
_cell_length_a 11.191
_cell_length_b 6.237
_cell_length_c 6.519
_cell_angle_alpha 90.00
_cell_angle_beta 90.00
_cell_angle_gamma 90.00
loop_
_space_group_symop_operation_xyz
'x,y,z'
'-x+1/2,-y,z+1/2'
'-x,y,z'
'x+1/2,-y,z+1/2'
loop_
_atom_site_label
_atom_site_fract_x
_atom_site_fract_y
_atom_site_fract_z
Tl1 0.000 0.243 0.000
Tl2 0.249 0.246 0.453
Ge1 0.000 0.823 0.535
S1 0.000 0.186 0.527
S2 0.000 0.735 0.874
S3 0.176 0.719 0.405
# - spin magnetization (μB/cell) = 0.0

=====

*i* comes first in stability; the runner-up is 20 meV per atom higher.

=====

*i*
# Tl2GeS2, optimized geometry, DFT PBE-GGA
data_Tl2GeS2
_chemical_formula_sum 'Tl4 Ge2 S4'
_space_group_name_H-M_alt 'I 4/m m m'
_space_group_IT_number 139
_space_group_name_Hall '-I 4 2'
_cell_length_a 4.284
_cell_length_b 4.284
_cell_length_c 14.327
_cell_angle_alpha 90.00
_cell_angle_beta 90.00
_cell_angle_gamma 90.00
loop_
_atom_site_label
_atom_site_fract_x
_atom_site_fract_y
_atom_site_fract_z
Tl1 0.000 0.500 0.250
Ge1 0.000 0.000 0.000
S1 0.000 0.000 0.426
# - spin magnetization (μB/cell) = 0.0

=====

*ii*
# Tl2GeS2, optimized geometry, DFT PBE-GGA
data_Tl2GeS2
_chemical_formula_sum 'Tl4 Ge2 S4'
_space_group_name_H-M_alt 'P 4/m b m'
_space_group_IT_number 127
_space_group_name_Hall '-P 4 2ab'
_cell_length_a 7.918
_cell_length_b 7.918
_cell_length_c 3.832
_cell_angle_alpha 90.00
_cell_angle_beta 90.00
_cell_angle_gamma 90.00
loop_
_atom_site_label
_atom_site_fract_x
_atom_site_fract_y
_atom_site_fract_z
Tl1 0.145 0.355 0.000
Ge1 0.000 0.000 0.000
S1 0.163 0.663 0.500
# - spin magnetization (μB/cell) = 0.0

=====

*iii*
# Tl2GeS2, optimized geometry, DFT PBE-GGA
data_Tl2GeS2
_chemical_formula_sum 'Tl8 Ge4 S8'
_space_group_name_H-M_alt 'C 1 2/m 1'
_space_group_IT_number 12
_cell_length_a 12.924
_cell_length_b 6.576
_cell_length_c 7.982
_cell_angle_alpha 90.00
_cell_angle_beta 106.68
_cell_angle_gamma 90.00
loop_
_space_group_symop_operation_xyz
'x,y,z'
'-x,-y,-z'
'-x,y,-z'
'x,-y,z'
'x+1/2,y+1/2,z'
'-x+1/2,-y+1/2,-z'
'-x+1/2,y+1/2,-z'
'x+1/2,-y+1/2,z'
loop_
_atom_site_label
_atom_site_fract_x
_atom_site_fract_y
_atom_site_fract_z
Tl1 0.021 0.000 0.238
Tl2 0.184 0.500 0.658
Ge1 0.184 0.500 0.162
S1 0.055 0.500 0.297
S2 0.159 0.000 0.611
# - spin magnetization (μB/cell) = 0.0

=====

*iv*
# Tl2GeS2, optimized geometry, DFT PBE-GGA
data_Tl2GeS2
_chemical_formula_sum 'Tl4 Ge2 S4'
_space_group_name_H-M_alt 'P 4/m b m'
_space_group_IT_number 127
_space_group_name_Hall '-P 4 2ab'
_cell_length_a 7.377
_cell_length_b 7.377
_cell_length_c 4.647
_cell_angle_alpha 90.00
_cell_angle_beta 90.00
_cell_angle_gamma 90.00
loop_
_atom_site_label
_atom_site_fract_x
_atom_site_fract_y
_atom_site_fract_z
Tl1 0.151 0.349 0.000
Ge1 0.000 0.000 0.500
S1 0.177 0.677 0.500
# - spin magnetization (μB/cell) = 0.0

=====

*iii* comes first in stability; the runner-up is 214 meV per atom higher.

=====

*i*
# Tl2GeS2, optimized geometry, DFT PBE-GGA
data_Tl2GeS2
_chemical_formula_sum 'Tl8 Ge4 S8'
_space_group_name_H-M_alt 'P 1 21/c 1'
_space_group_IT_number 14
_cell_length_a 9.185
_cell_length_b 8.777
_cell_length_c 7.628
_cell_angle_alpha 90.00
_cell_angle_beta 108.90
_cell_angle_gamma 90.00
loop_
_space_group_symop_operation_xyz
'x,y,z'
'-x,-y,-z'
'-x,y+1/2,-z+1/2'
'x,-y+1/2,z+1/2'
loop_
_atom_site_label
_atom_site_fract_x
_atom_site_fract_y
_atom_site_fract_z
Tl1 0.054 0.241 0.034
Tl2 0.298 0.595 0.279
Ge1 0.401 0.080 0.357
S1 0.166 0.532 0.787
S2 0.378 0.196 0.012
# - spin magnetization (μB/cell) = 0.0

=====

*ii*
# Tl2GeS2, optimized geometry, DFT PBE-GGA
data_Tl2GeS2
_chemical_formula_sum 'Tl4 Ge2 S4'
_space_group_name_H-M_alt 'I 4/m m m'
_space_group_IT_number 139
_space_group_name_Hall '-I 4 2'
_cell_length_a 5.526
_cell_length_b 5.526
_cell_length_c 8.673
_cell_angle_alpha 90.00
_cell_angle_beta 90.00
_cell_angle_gamma 90.00
loop_
_atom_site_label
_atom_site_fract_x
_atom_site_fract_y
_atom_site_fract_z
Tl1 0.000 0.000 0.166
Ge1 0.000 0.000 0.500
S1 0.000 0.500 0.250
# - spin magnetization (μB/cell) = 0.0

=====

*i* comes first in stability; the runner-up is 575 meV per atom higher.

=====

*i*
# Tl2GeS, optimized geometry, DFT PBE-GGA
data_Tl2GeS
_chemical_formula_sum 'Tl8 Ge4 S4'
_space_group_name_H-M_alt 'I -4 2 d'
_space_group_IT_number 122
_space_group_name_Hall 'I -4 2bw'
_cell_length_a 6.265
_cell_length_b 6.265
_cell_length_c 12.907
_cell_angle_alpha 90.00
_cell_angle_beta 90.00
_cell_angle_gamma 90.00
loop_
_atom_site_label
_atom_site_fract_x
_atom_site_fract_y
_atom_site_fract_z
Tl1 0.241 0.250 0.125
Ge1 0.000 0.000 0.000
S1 0.000 0.000 0.500
# - spin magnetization (μB/cell) = 0.0

=====

*ii*
# Tl2GeS, optimized geometry, DFT PBE-GGA
data_Tl2GeS
_chemical_formula_sum 'Tl8 Ge4 S4'
_space_group_name_H-M_alt 'F m -3 m'
_space_group_IT_number 225
_space_group_name_Hall '-F 4 2 3'
_cell_length_a 7.351
_cell_length_b 7.351
_cell_length_c 7.351
_cell_angle_alpha 90.00
_cell_angle_beta 90.00
_cell_angle_gamma 90.00
loop_
_atom_site_label
_atom_site_fract_x
_atom_site_fract_y
_atom_site_fract_z
Tl1 0.250 0.250 0.250
Ge1 0.000 0.000 0.000
S1 0.000 0.000 0.500
# - spin magnetization (μB/cell) = 0.0

=====

*i* comes first in stability; the runner-up is 196 meV per atom higher.

=====

*i*
# UGeS2, optimized geometry, DFT PBE-GGA
data_UGeS2
_chemical_formula_sum 'U4 Ge4 S8'
_space_group_name_H-M_alt 'C m c m'
_space_group_IT_number 63
_space_group_name_Hall '-C 2c 2'
_cell_length_a 3.594
_cell_length_b 25.232
_cell_length_c 4.016
_cell_angle_alpha 90.00
_cell_angle_beta 90.00
_cell_angle_gamma 90.00
loop_
_atom_site_label
_atom_site_fract_x
_atom_site_fract_y
_atom_site_fract_z
U1 0.000 0.185 0.250
Ge1 0.000 0.457 0.250
S1 0.000 0.296 0.250
S2 0.000 0.400 0.750
# - spin magnetization (μB/cell) = 10.8

=====

*ii*
# UGeS2, optimized geometry, DFT PBE-GGA
data_UGeS2
_chemical_formula_sum 'U3 Ge3 S6'
_space_group_name_H-M_alt 'R -3 m'
_space_group_IT_number 166
_space_group_name_Hall '-R 3 2"'
_cell_length_a 3.7854
_cell_length_b 3.7854
_cell_length_c 25.3704
_cell_angle_alpha 90.00
_cell_angle_beta 90.00
_cell_angle_gamma 120.00
loop_
_atom_site_label
_atom_site_fract_x
_atom_site_fract_y
_atom_site_fract_z
U1 0.0000 0.0000 0.0000
Ge1 0.0000 0.0000 0.5000
S1 0.0000 0.0000 0.3957
# - spin magnetization (μB/cell) = 7.6

=====

*i* comes first in stability; the runner-up is 123 meV per atom higher.

=====

*i*
# GeW2S, optimized geometry, DFT PBE-GGA
data_GeW2S
_chemical_formula_sum 'Ge4 W8 S4'
_space_group_name_H-M_alt 'I -4 2 d'
_space_group_IT_number 122
_space_group_name_Hall 'I -4 2bw'
_cell_length_a 4.013
_cell_length_b 4.013
_cell_length_c 16.984
_cell_angle_alpha 90.00
_cell_angle_beta 90.00
_cell_angle_gamma 90.00
loop_
_atom_site_label
_atom_site_fract_x
_atom_site_fract_y
_atom_site_fract_z
Ge1 0.000 0.000 0.000
W1 0.213 0.250 0.625
S1 0.000 0.000 0.500
# - spin magnetization (μB/cell) = 0.0

=====

*ii*
# GeW2S, optimized geometry, DFT PBE-GGA
data_GeW2S
_chemical_formula_sum 'Ge4 W8 S4'
_space_group_name_H-M_alt 'F m -3 m'
_space_group_IT_number 225
_space_group_name_Hall '-F 4 2 3'
_cell_length_a 6.162
_cell_length_b 6.162
_cell_length_c 6.162
_cell_angle_alpha 90.00
_cell_angle_beta 90.00
_cell_angle_gamma 90.00
loop_
_atom_site_label
_atom_site_fract_x
_atom_site_fract_y
_atom_site_fract_z
Ge1 0.000 0.000 0.000
W1 0.250 0.250 0.250
S1 0.000 0.000 0.500
# - spin magnetization (μB/cell) = 0.0

=====

*ii* comes first in stability; the runner-up is 255 meV per atom higher.